A geometry-optimized VCrNi2O6 structure, computed with PBE+U.

As for the size of the total moment: 3.0 μB/f.u. The value obtained for the total energy is -60.76 eV per cell.

The structure belongs to space group P4mm (No. 99); the cell edges are 5.3313, 5.3313 and 4.5874 Å and the angles 90.00°, 90.00° and 90.00°. The distinct sites, in fractional coordinates, are V at (0.0000, 0.0000, 0.0000), Cr at (0.5000, 0.5000, 0.0318), Ni at (0.0000, 0.5000, 0.2383), O at (0.0000, 0.0000, 0.6439), O at (0.2495, 0.2495, 0.1532) and O at (0.5000, 0.5000, 0.6651).